The following is a DFT calculation (SCAN) of a crystal of Si3GeTe relaxed with PBEsol.

Properties
The total energy is -81.0 eV per cell. As for the space group: Pm-3m (221). The total magnetization is 0.00 Bohr magnetons per cell. The uncorrected formation energy comes out at 1.079 eV per atom.

Lattice parameters (Å, degrees): 4.7772 4.7772 4.7772 90.00 90.00 90.00
Last column: nearest neighbours and their distance in Å.
Element x y z (fractional)
Si 0.0000 0.0000 0.5000  2 Ge 2.39
Si 0.0000 0.5000 0.0000  2 Ge 2.39
Si 0.5000 0.0000 0.0000  2 Ge 2.39
Ge 0.0000 0.0000 0.0000  6 Si 2.39
Te 0.5000 0.5000 0.5000  12 Si 3.38